# 1
Here is a relaxed structure of SrSiPd from Alexandria via LeMat-Bulk. Energies are from PBEsol.

Its raw formation energy is -0.77 eV per atom.

The structure belongs to space group P2_13 (No. 198); the cell edges are 6.4751, 6.4751 and 6.4751 Å and the angles 90.00°, 90.00° and 90.00°. Symmetry generates all atoms from Sr at (0.1297, 0.1297, 0.1297), Si at (0.1622, 0.3378, 0.6622) and Pd at (0.0891, 0.5891, 0.9109).



# 2
Here is a relaxed structure of SrSi3Pd from Alexandria via LeMat-Bulk. Energies are from PBEsol.

Its raw formation energy is 1.98 eV per atom.

The structure belongs to space group Pm-3m (No. 221); the cell edges are 5.2044, 5.2044 and 5.2044 Å and the angles 90.00°, 90.00° and 90.00°. Symmetry generates all atoms from Sr at (0.0000, 0.0000, 0.0000), Si at (0.0000, 0.0000, 0.5000) and Pd at (0.5000, 0.5000, 0.5000).



# 3
Here is a relaxed structure of TbSi2Pd2 from Alexandria via LeMat-Bulk. Energies are from PBEsol.

Its raw formation energy is -1.01 eV per atom.

The structure belongs to space group I4/mmm (No. 139); the cell edges are 4.0939, 4.0939 and 9.9190 Å and the angles 90.00°, 90.00° and 90.00°. Symmetry generates all atoms from Tb at (0.0000, 0.0000, 0.0000), Si at (0.0000, 0.0000, 0.3835) and Pd at (0.0000, 0.5000, 0.2500).



# 4
Here is a relaxed structure of TbSiPd from Alexandria via LeMat-Bulk. Energies are from PBEsol.

Its raw formation energy is -1.03 eV per atom.

The structure belongs to space group Pnma (No. 62); the cell edges are 6.9458, 4.2803 and 7.3998 Å and the angles 90.00°, 90.00° and 90.00°. Symmetry generates all atoms from Tb at (0.0029, 0.2500, 0.2009), Si at (0.1951, 0.2500, 0.5898) and Pd at (0.1905, 0.7500, 0.4176).



Values of total magnetization, in order: 0.00; 0.00; 0.00; 0.00, all in μB per formula unit.